Record 1
# BaBeCr2 PBE-GGA relaxed
# DOS at the Fermi energy   0.81 states/eV/atom
# Total DFT energy (no corrections)   -5.713 eV per atom
# Calculated density   4.56 g/cm3
# ΔH_f (0 K)   0.511 eV per atom
data_BaBeCr2
_space_group_name_H-M_alt 'P 1'
_space_group_IT_number 1
_space_group_name_Hall 'P 1'
_cell_length_a 4.190
_cell_length_b 4.190
_cell_length_c 6.475
_cell_angle_alpha 70.88
_cell_angle_beta 70.88
_cell_angle_gamma 60.02
loop_
_atom_site_label
_atom_site_type_symbol
_atom_site_fract_x
_atom_site_fract_y
_atom_site_fract_z
Cr1 Cr 0.682 0.682 0.953
Ba1 Ba 0.498 0.498 0.509
Cr2 Cr 0.007 0.007 0.979
Be1 Be 0.313 0.313 0.060

---

Record 2
# BaBeCr PBE-GGA relaxed
# DOS at the Fermi energy   1.04 states/eV/atom
# Total DFT energy (no corrections)   -3.512 eV per atom
# Calculated density   3.15 g/cm3
# ΔH_f (0 K)   1.578 eV per atom
data_BaBeCr
_space_group_name_H-M_alt 'P 1'
_space_group_IT_number 1
_space_group_name_Hall 'P 1'
_cell_length_a 5.289
_cell_length_b 5.289
_cell_length_c 5.289
_cell_angle_alpha 60.00
_cell_angle_beta 60.00
_cell_angle_gamma 60.00
loop_
_atom_site_label
_atom_site_type_symbol
_atom_site_fract_x
_atom_site_fract_y
_atom_site_fract_z
Cr1 Cr 0.500 0.500 0.500
Ba1 Ba 0.750 0.750 0.750
Be1 Be 0.000 0.000 0.000

---

Record 3
# Ba2BeCr PBE-GGA relaxed
# DOS at the Fermi energy   0.87 states/eV/atom
# Total DFT energy (no corrections)   -3.501 eV per atom
# Calculated density   4.76 g/cm3
# ΔH_f (0 K)   0.798 eV per atom
data_Ba2BeCr
_space_group_name_H-M_alt 'P 1'
_space_group_IT_number 1
_space_group_name_Hall 'P 1'
_cell_length_a 5.492
_cell_length_b 5.492
_cell_length_c 5.492
_cell_angle_alpha 60.00
_cell_angle_beta 60.00
_cell_angle_gamma 60.00
loop_
_atom_site_label
_atom_site_type_symbol
_atom_site_fract_x
_atom_site_fract_y
_atom_site_fract_z
Cr1 Cr 0.750 0.750 0.750
Ba1 Ba 0.000 0.000 0.000
Be1 Be 0.500 0.500 0.500
Ba2 Ba 0.250 0.250 0.250

---

Record 4
# BaBeCr2 PBE-GGA relaxed
# DOS at the Fermi energy   0.73 states/eV/atom
# Total DFT energy (no corrections)   -5.002 eV per atom
# Calculated density   4.48 g/cm3
# ΔH_f (0 K)   1.222 eV per atom
data_BaBeCr2
_space_group_name_H-M_alt 'P 1'
_space_group_IT_number 1
_space_group_name_Hall 'P 1'
_cell_length_a 5.081
_cell_length_b 5.081
_cell_length_c 5.081
_cell_angle_alpha 60.00
_cell_angle_beta 60.00
_cell_angle_gamma 60.00
loop_
_atom_site_label
_atom_site_type_symbol
_atom_site_fract_x
_atom_site_fract_y
_atom_site_fract_z
Be1 Be 0.250 0.250 0.250
Cr1 Cr 0.000 0.000 0.000
Cr2 Cr 0.750 0.750 0.750
Ba1 Ba 0.500 0.500 0.500

---

Record 5
# BaBeCr PBE-GGA relaxed
# DOS at the Fermi energy   0.76 states/eV/atom
# Total DFT energy (no corrections)   -4.047 eV per atom
# Calculated density   3.88 g/cm3
# ΔH_f (0 K)   1.043 eV per atom
data_BaBeCr
_space_group_name_H-M_alt 'P 1'
_space_group_IT_number 1
_space_group_name_Hall 'P 1'
_cell_length_a 4.931
_cell_length_b 4.931
_cell_length_c 4.931
_cell_angle_alpha 60.00
_cell_angle_beta 60.00
_cell_angle_gamma 60.00
loop_
_atom_site_label
_atom_site_type_symbol
_atom_site_fract_x
_atom_site_fract_y
_atom_site_fract_z
Ba1 Ba 0.500 0.500 0.500
Cr1 Cr 0.000 0.000 0.000
Be1 Be 0.750 0.750 0.750

---

- Among the records above, which one has the lowest ΔH_f (0 K)?
  number 1

---

- DOS at the Fermi energy of number 2 (BaBeCr)?
  1.04 states/eV/atom

---

- The lowest DOS at the Fermi energy belongs to which entry?
  number 4